## Tb3Pb4S8 (GGA-PBE)

Data for Tb3Pb4S8 after structural relaxation.

```
Tb3Pb4S8
1.0
8.171 -0.130 -0.187
-3.999 7.146 0.153
-3.999 -2.337 6.754
Tb S Pb
3 8 4
direct
0.500 0.500 0.500
0.500 0.000 0.500
0.500 0.500 0.000
0.023 0.264 0.264
0.977 0.736 0.736
0.492 0.738 0.738
0.000 0.745 0.255
0.500 0.258 0.742
0.000 0.255 0.745
0.500 0.742 0.258
0.508 0.262 0.262
0.500 0.000 0.000
0.000 0.000 0.500
0.000 0.000 0.000
0.000 0.500 0.000
```

energy = -5.256 eV per atom
raw formation energy = -1.14 eV/atom